This record from the Alexandria database describes LiCeSeS after structural relaxation. The functional is PBE.

Lattice parameters (Å, degrees): 4.534 4.534 11.116 78.23 78.23 60.00
Fractional positions:
Li (0.695, 0.695, 0.915)
Li (0.305, 0.305, 0.085)
Se (0.385, 0.385, 0.845)
Se (0.615, 0.615, 0.155)
S (0.199, 0.199, 0.404)
S (0.801, 0.801, 0.596)
Ce (0.890, 0.890, 0.329)
Ce (0.110, 0.110, 0.671)

Calculated values
Energy relative to the elements, uncorrected, eV per atom: -1.651
Magnetization, μB per formula unit: 1.00
Symmetry: R-3m

***

This record from the Alexandria database describes CeCu2Se3 after structural relaxation. The functional is PBE.

Lattice parameters (Å, degrees): 4.088 7.286 10.146 103.24 90.00 90.00
Fractional positions:
Se (0.750, 0.546, 0.834)
Se (0.750, 0.762, 0.516)
Se (0.750, 0.937, 0.154)
Se (0.250, 0.454, 0.166)
Se (0.250, 0.063, 0.846)
Se (0.250, 0.238, 0.484)
Cu (0.250, 0.827, 0.640)
Cu (0.250, 0.420, 0.918)
Cu (0.750, 0.580, 0.082)
Cu (0.750, 0.173, 0.360)
Ce (0.250, 0.827, 0.315)
Ce (0.750, 0.173, 0.685)

Calculated values
Energy relative to the elements, uncorrected, eV per atom: -0.838
Magnetization, μB per formula unit: 0.20
Symmetry: P2_1/m